# 1
Material: PdSeO
Method: DFT, PBE
State: optimized geometry

Summary:
- Formation energy without anion corrections: 0.59 eV per formula unit
- Uncorrected energy: -4.348 eV/atom
- Energy above the most stable polymorph in this dataset: 0.524 eV per atom
- Total magnetic moment: 0.00 μB/f.u.

Cell: 2.930 5.528 3.235 Å, 83.11 63.07 74.63°
Fractional coordinates of all 3 atoms:
O 0.669 0.661 0.000
Pd 0.320 0.361 0.000
Se 0.011 0.978 0.000

# 2
Material: BeSi3Sb
Method: DFT, PBE
State: optimized geometry

Summary:
- Formation energy without anion corrections: 9.00 eV per formula unit
- Uncorrected energy: -3.025 eV/atom
- Energy above the most stable polymorph in this dataset: 1.164 eV per atom
- Total magnetic moment: 0.00 μB/f.u.

Cell: 5.105 5.105 5.105 Å, 90.00 90.00 90.00°
Fractional coordinates of all 5 atoms:
Si 0.000 0.000 0.500
Si 0.500 0.000 0.000
Si 0.000 0.500 0.000
Be 0.500 0.500 0.500
Sb 0.000 0.000 0.000

# 3
Material: Ac2Cu3AgPd12
Method: DFT, PBE
State: optimized geometry

Summary:
- Uncorrected energy: -4.684 eV/atom
- Total magnetic moment: 0.00 μB/f.u.

Cell: 7.826 7.826 7.826 Å, 64.81 64.81 64.81°
Fractional coordinates of all 18 atoms:
Pd 0.144 0.612 0.144
Pd 0.856 0.856 0.388
Pd 0.112 0.632 0.632
Pd 0.632 0.112 0.632
Ag 0.000 0.000 0.000
Cu 0.000 0.000 0.500
Pd 0.388 0.856 0.856
Pd 0.632 0.632 0.112
Pd 0.856 0.388 0.856
Pd 0.368 0.888 0.368
Ac 0.612 0.612 0.612
Pd 0.612 0.144 0.144
Pd 0.888 0.368 0.368
Pd 0.368 0.368 0.888
Ac 0.388 0.388 0.388
Pd 0.144 0.144 0.612
Cu 0.500 0.000 0.000
Cu 0.000 0.500 0.000

# 4
Material: NaTb2CeHg4
Method: DFT, PBE
State: optimized geometry

Summary:
- Uncorrected energy: -2.576 eV/atom
- Total magnetic moment: 1.02 μB/f.u.

Cell: 5.255 5.255 9.281 Å, 73.55 73.55 60.00°
Fractional coordinates of all 8 atoms:
Hg 0.125 0.125 0.624
Hg 0.875 0.875 0.376
Hg 0.622 0.622 0.134
Na 0.500 0.500 0.500
Tb 0.754 0.754 0.737
Tb 0.246 0.246 0.263
Ce 0.000 0.000 0.000
Hg 0.378 0.378 0.866

# 5
Material: CaCoMo2W
Method: DFT, PBE
State: optimized geometry

Summary:
- Uncorrected energy: -6.798 eV/atom
- Total magnetic moment: 2.56 μB/f.u.

Cell: 4.726 5.450 4.726 Å, 90.00 90.00 90.00°
Fractional coordinates of all 5 atoms:
Mo 0.000 0.000 0.500
Mo 0.500 0.000 0.000
Co 0.500 0.500 0.500
W 0.000 0.000 0.000
Ca 0.000 0.500 0.000